No. 1
The following is a PBE-GGA calculation of crystalline TaCdW at its relaxed geometry, from Alexandria.

Values from the calculation:
Space-group type ... P3m1 (156)
Distance to the lowest polymorph of the same formula ... 112 meV per atom
ΔE_f ... 0.405 eV/atom
Magnetization ... 0.000 μB per atom
DFT total energy ... -8.17 eV per atom

Cell and atoms, written as POSCAR:
```
TaCdW
1.0
4.766 0.000 0.000
-2.383 4.128 0.000
0.000 0.000 2.745
Ta Cd W
1 1 1
direct
0.000 0.000 0.000
0.333 0.667 0.635
0.667 0.333 0.307
```

No. 2
The following is a PBE-GGA calculation of crystalline TaCdW at its relaxed geometry, from Alexandria.

Values from the calculation:
Space-group type ... F-43m (216)
Distance to the lowest polymorph of the same formula ... 936 meV per atom
ΔE_f ... 1.228 eV/atom
Magnetization ... 0.005 μB per atom
DFT total energy ... -7.35 eV per atom

Cell and atoms, written as POSCAR:
```
TaCdW
1.0
0.000 3.202 3.202
3.202 0.000 3.202
3.202 3.202 0.000
Ta Cd W
1 1 1
direct
0.000 0.000 0.000
0.500 0.500 0.500
0.250 0.250 0.250
```

No. 3
The following is a PBE-GGA calculation of crystalline YTaCd2W at its relaxed geometry, from Alexandria.

Values from the calculation:
Space-group type ... P4/mmm (123)
ΔE_f ... 1.059 eV/atom
Magnetization ... 0.000 μB per atom
DFT total energy ... -5.56 eV per atom

Cell and atoms, written as POSCAR:
```
YTaCd2W
1.0
5.309 0.000 0.000
0.000 5.309 0.000
0.000 0.000 4.753
Y Ta Cd W
1 1 2 1
direct
0.000 0.000 0.000
0.500 0.500 0.500
0.000 0.500 0.500
0.500 0.000 0.500
0.500 0.500 0.000
```

No. 4
The following is a PBE-GGA calculation of crystalline Y2TaCd at its relaxed geometry, from Alexandria.

Values from the calculation:
Space-group type ... P4/mmm (123)
ΔE_f ... 0.071 eV/atom
Magnetization ... 0.000 μB per atom
DFT total energy ... -6.35 eV per atom

Cell and atoms, written as POSCAR:
```
Y2TaCd
1.0
3.305 0.000 0.000
0.000 3.305 0.000
0.000 0.000 9.092
Y Ta Cd
2 1 1
direct
0.000 0.000 0.240
0.000 0.000 0.760
0.500 0.500 0.000
0.500 0.500 0.500
```

No. 5
The following is a PBE-GGA calculation of crystalline Y2TaCd at its relaxed geometry, from Alexandria.

Values from the calculation:
Space-group type ... Cm (8)
ΔE_f ... 0.147 eV/atom
Magnetization ... 0.000 μB per atom
DFT total energy ... -6.28 eV per atom

Cell and atoms, written as POSCAR:
```
Y2TaCd
1.0
5.803 -1.649 0.000
5.803 1.649 0.000
-1.832 0.000 5.249
Y Ta Cd
2 1 1
direct
0.000 0.000 0.000
0.203 0.203 0.626
0.752 0.752 0.140
0.451 0.451 0.472
```

No. 6
The following is a PBE-GGA calculation of crystalline Y2TaCd at its relaxed geometry, from Alexandria.

Values from the calculation:
Space-group type ... Pmm2 (25)
ΔE_f ... 0.173 eV/atom
Magnetization ... 0.000 μB per atom
DFT total energy ... -6.25 eV per atom

Cell and atoms, written as POSCAR:
```
Y2TaCd
1.0
3.209 0.000 0.000
0.000 5.266 0.000
0.000 0.000 5.826
Y Ta Cd
2 1 1
direct
0.000 0.000 0.000
0.000 0.500 0.376
0.500 0.000 0.524
0.500 0.500 0.846
```

ΔE_f of number 6 (Y2TaCd)?
0.173 eV/atom

Repeat the first record exactly.
The following is a PBE-GGA calculation of crystalline TaCdW at its relaxed geometry, from Alexandria.

Values from the calculation:
Space-group type ... P3m1 (156)
Distance to the lowest polymorph of the same formula ... 112 meV per atom
ΔE_f ... 0.405 eV/atom
Magnetization ... 0.000 μB per atom
DFT total energy ... -8.17 eV per atom

Cell and atoms, written as POSCAR:
```
TaCdW
1.0
4.766 0.000 0.000
-2.383 4.128 0.000
0.000 0.000 2.745
Ta Cd W
1 1 1
direct
0.000 0.000 0.000
0.333 0.667 0.635
0.667 0.333 0.307
```